Below is a relaxed structure of PrNiGeH2, with properties calculated at the PBE level.

Unit cell a=8.393 b=4.192 c=7.254 alpha=90.00 beta=90.00 gamma=90.00
Space group Pnma (No. 62)
One atom of each set of equivalent atoms:
Pr  0.000  0.250  0.250
Ni  0.249  0.250  0.583
Ge  0.250  0.250  0.917
H  0.059  0.250  0.583
H  0.061  0.750  0.083

## Properties
Energy   -98.99 eV for the cell shown

---

Below is a relaxed structure of PmGeH2O4, with properties calculated at the PBE level.

Unit cell a=6.873 b=6.873 c=8.213 alpha=90.00 beta=90.00 gamma=90.00
Space group I-42d (No. 122)
One atom of each set of equivalent atoms:
Pm  0.000  0.000  0.000
Ge  0.000  0.000  0.500
H  0.000  0.000  0.273
O  0.007  0.671  0.948

## Properties
ΔE to the lowest computed polymorph   0.3680 eV/atom
Energy   -188.42 eV for the cell shown

---

Below is a relaxed structure of PmGeHO4, with properties calculated at the PBE level.

Unit cell a=9.239 b=6.838 c=5.120 alpha=90.00 beta=90.00 gamma=90.00
Space group Pnma (No. 62)
One atom of each set of equivalent atoms:
Pm  0.210  0.250  0.194
Ge  0.041  0.750  0.216
H  0.000  0.000  0.500
O  0.067  0.750  0.879
O  0.113  0.544  0.389
O  0.147  0.250  0.750

## Properties
ΔE to the lowest computed polymorph   0.0886 eV/atom
Energy   -189.35 eV for the cell shown

---

Below is a relaxed structure of PmGeH2O4, with properties calculated at the PBE level.

Unit cell a=4.995 b=6.328 c=6.127 alpha=90.00 beta=103.14 gamma=90.00
Space group P2_1/m (No. 11)
One atom of each set of equivalent atoms:
Pm  0.054  0.250  0.185
Ge  0.308  0.250  0.719
H  0.326  0.750  0.499
H  0.500  0.000  0.000
O  0.026  0.750  0.460
O  0.257  0.027  0.933
O  0.461  0.250  0.453

## Properties
ΔE to the lowest computed polymorph   0.0349 eV/atom
Energy   -99.54 eV for the cell shown

---

Below is a relaxed structure of PmGeHO4, with properties calculated at the PBE level.

Unit cell a=7.809 b=6.511 c=7.370 alpha=90.00 beta=113.21 gamma=90.00
Space group P2_1/c (No. 14)
One atom of each set of equivalent atoms:
Pm  0.246  0.127  0.101
Ge  0.243  0.628  0.143
H  0.368  0.587  0.908
O  0.066  0.693  0.542
O  0.223  0.078  0.783
O  0.280  0.007  0.442
O  0.439  0.714  0.760

## Properties
ΔE to the lowest computed polymorph   0.0314 eV/atom
Energy   -190.96 eV for the cell shown

---

Below is a relaxed structure of PmGeHO4, with properties calculated at the PBE level.

Unit cell a=5.307 b=11.935 c=4.817 alpha=90.00 beta=90.00 gamma=90.00
Space group Pbcn (No. 60)
One atom of each set of equivalent atoms:
Pm  0.000  0.120  0.250
Ge  0.000  0.392  0.250
H  0.000  0.301  0.750
O  0.110  0.299  0.524
O  0.240  0.042  0.602

## Properties
ΔE to the lowest computed polymorph   0.0198 eV/atom
Energy   -191.28 eV for the cell shown